This record from the Alexandria database describes a relaxed structure of Ti4PbSe8. The functional is GGA-PBE.

Structure (CIF):
```
data_Ti4PbSe8
_chemical_formula_sum 'Ti16 Pb4 Se32'
_cell_length_a 10.8755
_cell_length_b 10.8755
_cell_length_c 10.8755
_cell_angle_alpha 90.00
_cell_angle_beta 90.00
_cell_angle_gamma 90.00
_symmetry_space_group_name_H-M 'F -4 3 m'
_symmetry_Int_Tables_number 216
_symmetry_space_group_name_Hall 'F -4 2 3'
loop_
_atom_site_label
_atom_site_fract_x
_atom_site_fract_y
_atom_site_fract_z
Ti1 0.1103 0.1103 0.3897
Pb1 0.0000 0.0000 0.0000
Se1 0.1227 0.1227 0.6227
Se2 0.1453 0.1453 0.1453
```

Summary:
The calculated volume comes out at 24.74 Å³/atom. As for the offset from the most stable computed form: 80 meV per atom. The calculation puts the total magnetic moment at 2.4 μB per formula unit. The calculation puts the final energy at -0.2138 Ha/atom.



This record from the Alexandria database describes a relaxed structure of TiPbSe. The functional is GGA-PBE.

Structure (CIF):
```
data_TiPbSe
_chemical_formula_sum 'Ti4 Pb4 Se4'
_cell_length_a 5.9685
_cell_length_b 3.4610
_cell_length_c 13.6190
_cell_angle_alpha 90.00
_cell_angle_beta 90.08
_cell_angle_gamma 90.00
_symmetry_space_group_name_H-M 'C 1 m 1'
_symmetry_Int_Tables_number 8
loop_
_symmetry_equiv_pos_as_xyz
'x,y,z'
'x,-y,z'
'x+1/2,y+1/2,z'
'x+1/2,-y+1/2,z'
loop_
_atom_site_label
_atom_site_fract_x
_atom_site_fract_y
_atom_site_fract_z
Ti1 0.0000 0.0000 0.0000
Ti2 0.0013 0.0000 0.2450
Pb1 0.1538 0.5000 0.5942
Pb2 0.1697 0.5000 0.8296
Se1 0.1680 0.5000 0.3597
Se2 0.3345 0.0000 0.1164
```

Summary:
The calculated volume comes out at 23.44 Å³/atom. As for the offset from the most stable computed form: 63 meV per atom. The calculation puts the total magnetic moment at 0.1 μB per formula unit. The calculation puts the final energy at -0.2078 Ha/atom.



This record from the Alexandria database describes a relaxed structure of TiPbSe. The functional is GGA-PBE.

Structure (CIF):
```
data_TiPbSe
_chemical_formula_sum 'Ti1 Pb1 Se1'
_cell_length_a 3.4539
_cell_length_b 3.4539
_cell_length_c 6.9178
_cell_angle_alpha 90.00
_cell_angle_beta 90.00
_cell_angle_gamma 120.00
_symmetry_space_group_name_H-M 'P 3 m 1'
_symmetry_Int_Tables_number 156
loop_
_symmetry_equiv_pos_as_xyz
'x,y,z'
'-y,x-y,z'
'-x+y,-x,z'
'-y,-x,z'
'-x+y,y,z'
'x,x-y,z'
loop_
_atom_site_label
_atom_site_fract_x
_atom_site_fract_y
_atom_site_fract_z
Ti1 0.0000 0.0000 0.0000
Pb1 0.3333 0.6667 0.6510
Se1 0.6667 0.3333 0.2166
```

Summary:
The calculated volume comes out at 23.82 Å³/atom. As for the offset from the most stable computed form: 215 meV per atom. The calculation puts the total magnetic moment at 0.0 μB per formula unit. The calculation puts the final energy at -0.2023 Ha/atom.



This record from the Alexandria database describes a relaxed structure of TiPb3Se. The functional is GGA-PBE.

Structure (CIF):
```
data_TiPb3Se
_chemical_formula_sum 'Ti1 Pb3 Se1'
_cell_length_a 5.5878
_cell_length_b 5.5878
_cell_length_c 5.5878
_cell_angle_alpha 90.00
_cell_angle_beta 90.00
_cell_angle_gamma 90.00
_symmetry_space_group_name_H-M 'P m -3 m'
_symmetry_Int_Tables_number 221
_symmetry_space_group_name_Hall '-P 4 2 3'
loop_
_atom_site_label
_atom_site_fract_x
_atom_site_fract_y
_atom_site_fract_z
Ti1 0.0000 0.0000 0.0000
Pb1 0.0000 0.5000 0.5000
Se1 0.5000 0.5000 0.5000
```

Summary:
The calculated volume comes out at 34.90 Å³/atom. As for the offset from the most stable computed form: 443 meV per atom. The calculation puts the total magnetic moment at 0.0 μB per formula unit. The calculation puts the final energy at -0.1362 Ha/atom.



This record from the Alexandria database describes a relaxed structure of TiPbSe2. The functional is GGA-PBE.

Structure (CIF):
```
data_TiPbSe2
_chemical_formula_sum 'Ti3 Pb3 Se6'
_cell_length_a 3.5500
_cell_length_b 3.5500
_cell_length_c 27.7010
_cell_angle_alpha 90.00
_cell_angle_beta 90.00
_cell_angle_gamma 120.00
_symmetry_space_group_name_H-M 'R -3 m'
_symmetry_Int_Tables_number 166
_symmetry_space_group_name_Hall '-R 3 2"'
loop_
_atom_site_label
_atom_site_fract_x
_atom_site_fract_y
_atom_site_fract_z
Ti1 0.0000 0.0000 0.0000
Pb1 0.0000 0.0000 0.5000
Se1 0.0000 0.0000 0.3893
```

Summary:
The calculated volume comes out at 25.19 Å³/atom. The calculation puts the total magnetic moment at 0.0 μB per formula unit. The calculation puts the final energy at -0.2020 Ha/atom.



This record from the Alexandria database describes a relaxed structure of ZrTi2PbSe. The functional is GGA-PBE.

Structure (CIF):
```
data_ZrTi2PbSe
_chemical_formula_sum 'Zr1 Ti2 Pb1 Se1'
_cell_length_a 5.1887
_cell_length_b 5.1887
_cell_length_c 5.4938
_cell_angle_alpha 90.00
_cell_angle_beta 90.00
_cell_angle_gamma 90.00
_symmetry_space_group_name_H-M 'P 4/m m m'
_symmetry_Int_Tables_number 123
_symmetry_space_group_name_Hall '-P 4 2'
loop_
_atom_site_label
_atom_site_fract_x
_atom_site_fract_y
_atom_site_fract_z
Zr1 0.0000 0.0000 0.0000
Ti1 0.0000 0.5000 0.5000
Pb1 0.0000 0.0000 0.5000
Se1 0.5000 0.5000 0.0000
```

Summary:
The calculated volume comes out at 29.58 Å³/atom. The calculation puts the total magnetic moment at 5.7 μB per formula unit. The calculation puts the final energy at -0.1930 Ha/atom.



This record from the Alexandria database describes a relaxed structure of TlPbSe3. The functional is GGA-PBE.

Structure (CIF):
```
data_TlPbSe3
_chemical_formula_sum 'Tl1 Pb1 Se3'
_cell_length_a 5.5178
_cell_length_b 5.5178
_cell_length_c 5.5178
_cell_angle_alpha 90.00
_cell_angle_beta 90.00
_cell_angle_gamma 90.00
_symmetry_space_group_name_H-M 'P m -3 m'
_symmetry_Int_Tables_number 221
_symmetry_space_group_name_Hall '-P 4 2 3'
loop_
_atom_site_label
_atom_site_fract_x
_atom_site_fract_y
_atom_site_fract_z
Tl1 0.0000 0.0000 0.0000
Pb1 0.5000 0.5000 0.5000
Se1 0.0000 0.5000 0.5000
```

Summary:
The calculated volume comes out at 33.60 Å³/atom. As for the offset from the most stable computed form: 0 meV per atom. The calculation puts the total magnetic moment at 0.0 μB per formula unit. The calculation puts the final energy at -0.1160 Ha/atom.



This record from the Alexandria database describes a relaxed structure of TlPb3Se. The functional is GGA-PBE.

Structure (CIF):
```
data_TlPb3Se
_chemical_formula_sum 'Tl1 Pb3 Se1'
_cell_length_a 5.7462
_cell_length_b 5.7462
_cell_length_c 5.7462
_cell_angle_alpha 90.00
_cell_angle_beta 90.00
_cell_angle_gamma 90.00
_symmetry_space_group_name_H-M 'P m -3 m'
_symmetry_Int_Tables_number 221
_symmetry_space_group_name_Hall '-P 4 2 3'
loop_
_atom_site_label
_atom_site_fract_x
_atom_site_fract_y
_atom_site_fract_z
Tl1 0.0000 0.0000 0.0000
Pb1 0.0000 0.5000 0.5000
Se1 0.5000 0.5000 0.5000
```

Summary:
The calculated volume comes out at 37.95 Å³/atom. As for the offset from the most stable computed form: 0 meV per atom. The calculation puts the total magnetic moment at 0.0 μB per formula unit. The calculation puts the final energy at -0.1181 Ha/atom.